Entry 1:
First-principles (PBE) data for a relaxed TmThScNb crystal, as listed in the Alexandria database.

Cell lengths 5.215, 5.215, 5.215 Å; angles 60.00, 60.00, 60.00 degrees
Element x y z (fractional)
Tm 0.000 0.000 0.000
Th 0.500 0.500 0.500
Sc 0.250 0.250 0.250
Nb 0.750 0.750 0.750

Computed properties:
- energy of formation (eV/atom) = 0.177
- DOS at the Fermi energy (states/eV/f.u.) = 6.4
- E_tot (eV/atom) = -6.90

Entry 2:
First-principles (PBE) data for a relaxed YThScNb crystal, as listed in the Alexandria database.

Cell lengths 5.248, 5.248, 5.248 Å; angles 60.00, 60.00, 60.00 degrees
Element x y z (fractional)
Y 0.000 0.000 0.000
Th 0.500 0.500 0.500
Sc 0.250 0.250 0.250
Nb 0.750 0.750 0.750

Computed properties:
- energy of formation (eV/atom) = 0.201
- DOS at the Fermi energy (states/eV/f.u.) = 6.5
- E_tot (eV/atom) = -7.37

Entry 3:
First-principles (PBE) data for a relaxed Sc2TiNb crystal, as listed in the Alexandria database.

Cell lengths 4.857, 4.857, 4.857 Å; angles 60.00, 60.00, 60.00 degrees
Element x y z (fractional)
Sc 0.250 0.250 0.250
Sc 0.750 0.750 0.750
Ti 0.000 0.000 0.000
Nb 0.500 0.500 0.500

Computed properties:
- energy of formation (eV/atom) = 0.274
- DOS at the Fermi energy (states/eV/f.u.) = 6.4
- E_tot (eV/atom) = -7.38

Entry 4:
First-principles (PBE) data for a relaxed ScTiNb2 crystal, as listed in the Alexandria database.

Cell lengths 4.723, 4.723, 4.723 Å; angles 60.00, 60.00, 60.00 degrees
Element x y z (fractional)
Sc 0.000 0.000 0.000
Ti 0.500 0.500 0.500
Nb 0.250 0.250 0.250
Nb 0.750 0.750 0.750

Computed properties:
- energy of formation (eV/atom) = 0.209
- DOS at the Fermi energy (states/eV/f.u.) = 8.2
- E_tot (eV/atom) = -8.38